DFT (PBE-GGA) results for a relaxed PmDy7Y4 crystal.

Calculated values
DOS(E_F), states/eV/f.u.: 15.909
Space-group type: P-1, No. 2
Magnetic moment, μB/f.u.: 0.00
Formation energy from the elements, eV per atom: -0.0013

Cell lengths 7.182, 6.220, 11.395 Å; angles 79.55, 50.92, 90.04 degrees
Sites, in units of the cell vectors:
Dy  0.751  0.499  0.999
Y  0.585  0.280  0.665
Y  0.834  0.778  0.666
Dy  0.666  0.222  0.334
Y  0.415  0.720  0.335
Dy  0.500  0.000  0.000
Dy  0.916  0.723  0.334
Y  0.166  0.222  0.334
Dy  0.084  0.277  0.666
Pm  0.000  0.000  0.000
Dy  0.334  0.778  0.666
Dy  0.249  0.501  0.001

---

DFT (PBE-GGA) results for a relaxed BeGaAsI2 crystal.

Calculated values
DOS(E_F), states/eV/f.u.: 1.374
Space-group type: P4/mmm, No. 123
Magnetic moment, μB/f.u.: 0.00
Raw formation energy, eV/f.u.: 1.260

Cell lengths 6.281, 4.087, 6.281 Å; angles 90.00, 90.00, 90.00 degrees
Sites, in units of the cell vectors:
Be  0.000  0.500  0.000
I  0.500  0.000  0.000
Ga  0.500  0.500  0.500
As  0.000  0.000  0.000
I  0.000  0.000  0.500

---

DFT (PBE-GGA) results for a relaxed Ti12Al6V crystal.

Calculated values
DOS(E_F), states/eV/f.u.: 24.697
Space-group type: R-3, No. 148
Magnetic moment, μB/f.u.: 1.70
Formation energy from the elements, eV per atom: -0.1807

Cell lengths 6.813, 6.813, 6.813 Å; angles 90.08, 90.08, 90.08 degrees
Last column: magnetic moment on the atom in μB.
Sites, in units of the cell vectors:
Al  0.731  0.883  0.258  0.00
Al  0.269  0.117  0.742  0.00
Al  0.742  0.269  0.117  0.00
Ti  0.150  0.374  0.053  0.19
Ti  0.556  0.200  0.479  -0.01
Ti  0.444  0.800  0.521  -0.01
Al  0.117  0.742  0.269  0.00
Ti  0.800  0.521  0.444  -0.01
V  0.000  0.000  0.000  0.26
Ti  0.200  0.479  0.556  -0.01
Ti  0.850  0.626  0.947  0.19
Ti  0.521  0.444  0.800  -0.01
Ti  0.479  0.556  0.200  -0.01
Al  0.258  0.731  0.883  0.00
Al  0.883  0.258  0.731  0.00
Ti  0.947  0.850  0.626  0.19
Ti  0.626  0.947  0.850  0.19
Ti  0.053  0.150  0.374  0.19
Ti  0.374  0.053  0.150  0.19

---

DFT (PBE-GGA) results for a relaxed Be2Ru crystal.

Calculated values
DOS(E_F), states/eV/f.u.: 1.088
Energy above the lowest structure with this stoichiometry, eV/atom: 0.343
Space-group type: P-62m, No. 189
Magnetic moment, μB/f.u.: 0.00
Formation energy from the elements, eV per atom: -0.0050

Cell lengths 6.704, 6.704, 2.471 Å; angles 90.00, 90.00, 120.00 degrees
Sites, in units of the cell vectors:
Ru  0.333  0.667  0.000
Be  0.000  0.308  0.000
Be  0.308  0.000  0.000
Ru  0.000  0.000  0.500
Be  0.362  0.362  0.500
Be  0.000  0.638  0.500
Ru  0.667  0.333  0.000
Be  0.692  0.692  0.000
Be  0.638  0.000  0.500

---

| no. | energy (eV per atom) |
| --- | --- |
| 1 | -5.236 |
| 2 | -2.649 |
| 3 | -6.829 |
| 4 | -5.581 |